1.
La2Hg2Pd15 after structural relaxation. Source: Alexandria via LeMat-Bulk, functional PBE-GGA.

Output
**VASP energy**: -5.0195 eV per atom

The structure in CIF format:
```
data_La2Hg2Pd15
_symmetry_space_group_name_H-M 'R -3 m'
_symmetry_Int_Tables_number 166
_symmetry_space_group_name_Hall '-R 3 2"'
_cell_length_a 9.2813
_cell_length_b 9.2813
_cell_length_c 13.8626
_cell_angle_alpha 90.00
_cell_angle_beta 90.00
_cell_angle_gamma 120.00
loop_
_atom_site_label
_atom_site_fract_x
_atom_site_fract_y
_atom_site_fract_z
La1 0.0000 0.0000 0.1529
Hg1 0.0000 0.0000 0.3987
Pd1 0.0000 0.3084 0.5000
Pd2 0.0000 0.5000 0.0000
Pd3 0.0056 0.5028 0.6545
```

2.
La3Hg2Pd4 after structural relaxation. Source: Alexandria via LeMat-Bulk, functional PBE-GGA.

Output
**VASP energy**: -4.7330 eV per atom

The structure in CIF format:
```
data_La3Hg2Pd4
_symmetry_space_group_name_H-M 'C 1 2/m 1'
_symmetry_Int_Tables_number 12
_cell_length_a 12.324
_cell_length_b 4.302
_cell_length_c 9.326
_cell_angle_alpha 90.00
_cell_angle_beta 118.44
_cell_angle_gamma 90.00
loop_
_symmetry_equiv_pos_as_xyz
'x,y,z'
'-x,-y,-z'
'-x,y,-z'
'x,-y,z'
'x+1/2,y+1/2,z'
'-x+1/2,-y+1/2,-z'
'-x+1/2,y+1/2,-z'
'x+1/2,-y+1/2,z'
loop_
_atom_site_label
_atom_site_fract_x
_atom_site_fract_y
_atom_site_fract_z
La1 0.000 0.000 0.000
La2 0.141 0.500 0.695
Hg1 0.157 0.500 0.322
Pd1 0.064 0.000 0.414
Pd2 0.205 0.500 0.055
```

3.
La3HgPd8 after structural relaxation. Source: Alexandria via LeMat-Bulk, functional PBE-GGA.

Output
**VASP energy**: -5.4695 eV per atom

The structure in CIF format:
```
data_La3HgPd8
_symmetry_space_group_name_H-M 'R 3 m'
_symmetry_Int_Tables_number 160
_symmetry_space_group_name_Hall 'R 3 -2"'
_cell_length_a 5.5181
_cell_length_b 5.5181
_cell_length_c 27.1929
_cell_angle_alpha 90.00
_cell_angle_beta 90.00
_cell_angle_gamma 120.00
loop_
_atom_site_label
_atom_site_fract_x
_atom_site_fract_y
_atom_site_fract_z
La1 0.0000 0.0000 0.0000
La2 0.0000 0.0000 0.1296
La3 0.0000 0.0000 0.5181
Hg1 0.0000 0.0000 0.6387
Pd1 0.0000 0.0000 0.3199
Pd2 0.0000 0.0000 0.8200
Pd3 0.0011 0.5006 0.0707
Pd4 0.1683 0.3366 0.9025
```

4.
La6HgPd2 after structural relaxation. Source: Alexandria via LeMat-Bulk, functional PBE-GGA.

Output
**VASP energy**: -4.8420 eV per atom

The structure in CIF format:
```
data_La6HgPd2
_symmetry_space_group_name_H-M 'P 1 21/c 1'
_symmetry_Int_Tables_number 14
_cell_length_a 6.981
_cell_length_b 7.772
_cell_length_c 12.579
_cell_angle_alpha 90.00
_cell_angle_beta 122.90
_cell_angle_gamma 90.00
loop_
_symmetry_equiv_pos_as_xyz
'x,y,z'
'-x,-y,-z'
'-x,y+1/2,-z+1/2'
'x,-y+1/2,z+1/2'
loop_
_atom_site_label
_atom_site_fract_x
_atom_site_fract_y
_atom_site_fract_z
La1 0.051 0.080 0.235
La2 0.218 0.693 0.086
La3 0.364 0.144 0.057
Hg1 0.500 0.000 0.500
Pd1 0.305 0.115 0.738
```

5.
LaHgPd6 after structural relaxation. Source: Alexandria via LeMat-Bulk, functional PBE-GGA.

Output
**VASP energy**: -5.0124 eV per atom

The structure in CIF format:
```
data_LaHgPd6
_symmetry_space_group_name_H-M 'P 4/m m m'
_symmetry_Int_Tables_number 123
_symmetry_space_group_name_Hall '-P 4 2'
_cell_length_a 5.807
_cell_length_b 5.807
_cell_length_c 4.219
_cell_angle_alpha 90.00
_cell_angle_beta 90.00
_cell_angle_gamma 90.00
loop_
_atom_site_label
_atom_site_fract_x
_atom_site_fract_y
_atom_site_fract_z
La1 0.000 0.000 0.000
Hg1 0.500 0.500 0.000
Pd1 0.000 0.500 0.000
Pd2 0.257 0.257 0.500
```

6.
La2Hg2Pd after structural relaxation. Source: Alexandria via LeMat-Bulk, functional PBE-GGA.

Output
**VASP energy**: -3.4391 eV per atom

The structure in CIF format:
```
data_La2Hg2Pd
_symmetry_space_group_name_H-M 'P 4/m b m'
_symmetry_Int_Tables_number 127
_symmetry_space_group_name_Hall '-P 4 2ab'
_cell_length_a 7.793
_cell_length_b 7.793
_cell_length_c 4.932
_cell_angle_alpha 90.00
_cell_angle_beta 90.00
_cell_angle_gamma 90.00
loop_
_atom_site_label
_atom_site_fract_x
_atom_site_fract_y
_atom_site_fract_z
La1 0.165 0.335 0.000
Hg1 0.142 0.642 0.500
Pd1 0.000 0.000 0.000
```

no.,D(E_F) (states/eV/atom),E_form (eV per atom)
1,1.0493,-0.37
2,0.5793,-0.72
3,0.4685,-0.75
4,1.2288,-0.37
5,0.9048,-0.46
6,0.7750,-0.31